1.
# meta-GGA SCAN LiScBe2, single point on PBEsol structure
# N(E_F) in states/eV/f.u.: 2.51
# ΔH_f (0 K) in eV/atom: 0.199
data_LiScBe2
_chemical_formula_sum 'Li1 Sc1 Be2'
_space_group_name_H-M_alt 'P 4 m m'
_space_group_IT_number 99
_cell_length_a 2.776
_cell_length_b 2.776
_cell_length_c 7.200
_cell_angle_alpha 90.00
_cell_angle_beta 90.00
_cell_angle_gamma 90.00
loop_
_space_group_symop_operation_xyz
'x,y,z'
'-y,x,z'
'-x,-y,z'
'y,-x,z'
'-x,y,z'
'y,x,z'
'x,-y,z'
'-y,-x,z'
loop_
_atom_site_label
_atom_site_type_symbol
_atom_site_fract_x
_atom_site_fract_y
_atom_site_fract_z
Li1 Li 0.000 0.000 0.000
Sc1 Sc 0.500 0.500 0.360
Be1 Be 0.000 0.000 0.624
Be2 Be 0.500 0.500 0.758


2.
# meta-GGA SCAN LiSc2Be, single point on PBEsol structure
# N(E_F) in states/eV/f.u.: 2.11
# ΔH_f (0 K) in eV/atom: 0.322
data_LiSc2Be
_chemical_formula_sum 'Li3 Sc6 Be3'
_space_group_name_H-M_alt 'R 3 m'
_space_group_IT_number 160
_space_group_name_Hall 'R 3 -2"'
_cell_length_a 3.1147
_cell_length_b 3.1147
_cell_length_c 27.2399
_cell_angle_alpha 90.00
_cell_angle_beta 90.00
_cell_angle_gamma 120.00
loop_
_atom_site_label
_atom_site_type_symbol
_atom_site_fract_x
_atom_site_fract_y
_atom_site_fract_z
Li1 Li 0.0000 0.0000 0.0000
Sc1 Sc 0.0000 0.0000 0.5282
Sc2 Sc 0.0000 0.0000 0.7637
Be1 Be 0.0000 0.0000 0.2670